Below is an optimized crystal structure of AlV2H, with properties calculated at the PBE level.

## Properties
Energy relative to the lowest polymorph listed for this composition   0.211 eV/atom
Fermi-level density of states   1.05 states/eV per atom
Theoretical density   4.6 g cm⁻³

a = 2.961 Å, b = 2.961 Å, c = 6.427 Å
α = 76.68°, β = 76.68°, γ = 60.00°
Fractional coordinates of all 4 atoms:
V  0.786  0.786  0.643
H  0.500  0.500  0.500
V  0.214  0.214  0.357
Al  0.000  0.000  0.000